Record 1
Here is a geometry-optimized SrPSeN2 structure from Alexandria. Energies are from PBE.

Lattice parameters (Å, degrees): 3.935 3.935 4.988 90.00 90.00 90.00
Last column: magnetic moment on the atom in μB.
Fractional positions:
Sr1 0.500 0.500 0.500  0.00
N1 0.000 0.500 0.000  0.26
N2 0.500 0.000 0.000  0.26
Se1 0.000 0.000 0.500  0.07
P1 0.000 0.000 0.000  -0.03

## Properties
ΔE_f (raw): 40 kJ/mol of atoms
Mass density: 4.851 g/cm³
Energy relative to the lowest polymorph listed for this composition: 0.0 meV per atom
Uncorrected energy: -25.15 eV for the cell shown

---

Record 2
Here is a geometry-optimized GaPdOF2 structure from Alexandria. Energies are from PBE.

Lattice parameters (Å, degrees): 4.389 4.389 3.864 90.00 90.00 90.00
Fractional positions:
O1 0.000 0.000 0.500
Ga1 0.500 0.500 0.500
Pd1 0.000 0.000 0.000
F1 0.000 0.500 0.000
F2 0.500 0.000 0.000

## Properties
ΔE_f (raw): -85 kJ/mol of atoms
Mass density: 5.134 g/cm³
Energy relative to the lowest polymorph listed for this composition: 352.4 meV per atom
Uncorrected energy: -21.33 eV for the cell shown

---

Record 3
Here is a geometry-optimized Tm4CoS3 structure from Alexandria. Energies are from PBE.

Lattice parameters (Å, degrees): 3.768 6.786 6.786 108.13 90.00 90.00
Fractional positions:
S1 0.000 0.000 0.500
S2 0.500 0.500 0.500
S3 0.000 0.500 0.000
Tm1 0.000 0.233 0.233
Tm2 0.500 0.761 0.239
Tm3 0.000 0.767 0.767
Tm4 0.500 0.239 0.761
Co1 0.500 0.000 0.000

## Properties
ΔE_f (raw): -141 kJ/mol of atoms
Mass density: 8.367 g/cm³
Uncorrected energy: -49.04 eV for the cell shown

---

Record 4
Here is a geometry-optimized K3U2Cl2O5 structure from Alexandria. Energies are from PBE.

Lattice parameters (Å, degrees): 4.353 4.353 13.232 99.47 99.47 90.00
Last column: magnetic moment on the atom in μB.
Fractional positions:
K1 0.175 0.175 0.350  0.00
K2 0.825 0.825 0.650  0.00
K3 0.000 0.000 0.000  0.00
U1 0.416 0.416 0.832  1.56
U2 0.584 0.584 0.168  1.56
Cl1 0.696 0.696 0.392  -0.01
Cl2 0.304 0.304 0.608  -0.01
O1 0.587 0.087 0.175  -0.05
O2 0.413 0.913 0.825  -0.05
O3 0.087 0.587 0.175  -0.05
O4 0.913 0.413 0.825  -0.05
O5 0.500 0.500 0.000  -0.05

## Properties
ΔE_f (raw): -250 kJ/mol of atoms
Mass density: 5.067 g/cm³
Uncorrected energy: -85.42 eV for the cell shown

---

Record 5
Here is a geometry-optimized NaTcAsO6 structure from Alexandria. Energies are from PBE.

Lattice parameters (Å, degrees): 5.106 5.106 10.501 90.00 90.00 120.00
Last column: magnetic moment on the atom in μB.
Fractional positions:
Na1 0.000 0.000 0.000  0.00
Na2 0.000 0.000 0.500  0.00
Tc1 0.333 0.667 0.250  0.33
Tc2 0.667 0.333 0.750  0.33
As1 0.667 0.333 0.250  0.02
As2 0.333 0.667 0.750  0.02
O1 0.612 0.605 0.148  0.01
O2 0.992 0.388 0.148  0.01
O3 0.388 0.992 0.648  0.01
O4 0.008 0.612 0.852  0.01
O5 0.395 0.388 0.352  0.01
O6 0.992 0.605 0.352  0.01
O7 0.605 0.992 0.852  0.01
O8 0.612 0.008 0.352  0.01
O9 0.008 0.395 0.648  0.01
O10 0.395 0.008 0.148  0.01
O11 0.605 0.612 0.648  0.01
O12 0.388 0.395 0.852  0.01

## Properties
ΔE_f (raw): -130 kJ/mol of atoms
Mass density: 4.090 g/cm³
Uncorrected energy: -116.34 eV for the cell shown

---

Record 6
Here is a geometry-optimized SmPuIn structure from Alexandria. Energies are from PBE.

Lattice parameters (Å, degrees): 3.337 5.367 5.367 120.00 90.00 90.00
Last column: magnetic moment on the atom in μB.
Fractional positions:
In1 0.996 0.000 0.000  -0.05
Sm1 0.316 0.667 0.333  0.10
Pu1 0.687 0.333 0.667  5.61

## Properties
Formation enthalpy at 0 K: -85 meV/atom
Mass density: 10.157 g/cm³
Energy relative to the lowest polymorph listed for this composition: 20.0 meV per atom
Uncorrected energy: -22.05 eV for the cell shown

---

Record 7
Here is a geometry-optimized SmDyZr2 structure from Alexandria. Energies are from PBE.

Lattice parameters (Å, degrees): 3.956 3.956 6.916 90.00 90.00 90.00
Fractional positions:
Zr1 0.000 0.000 0.774
Zr2 0.000 0.000 0.226
Sm1 0.500 0.500 0.500
Dy1 0.500 0.500 0.000

## Properties
Formation enthalpy at 0 K: 231 meV/atom
Mass density: 7.601 g/cm³
Energy relative to the lowest polymorph listed for this composition: 79.6 meV per atom
Uncorrected energy: -25.49 eV for the cell shown

---

Record 8
Here is a geometry-optimized Cs3PuIn3I8 structure from Alexandria. Energies are from PBE.

Lattice parameters (Å, degrees): 10.182 10.184 10.663 118.53 90.00 119.99
Last column: magnetic moment on the atom in μB.
Fractional positions:
Cs1 0.000 0.000 0.000  0.00
Cs2 0.000 0.500 0.000  0.00
Cs3 0.500 0.500 0.000  0.00
Pu1 0.000 0.000 0.500  5.77
In1 0.500 0.000 0.500  0.01
In2 0.500 0.500 0.500  0.01
In3 0.000 0.500 0.500  0.01
I1 0.259 0.518 0.278  0.00
I2 0.741 0.482 0.722  0.00
I3 0.779 0.558 0.296  -0.01
I4 0.221 0.442 0.704  -0.01
I5 0.779 0.017 0.296  -0.01
I6 0.221 0.983 0.704  -0.01
I7 0.238 0.017 0.296  -0.01
I8 0.762 0.983 0.704  -0.01

## Properties
ΔE_f (raw): -96 kJ/mol of atoms
Mass density: 4.162 g/cm³
Uncorrected energy: -52.42 eV for the cell shown

---

Please write out number 8 again, unchanged.
Here is a geometry-optimized Cs3PuIn3I8 structure from Alexandria. Energies are from PBE.

Lattice parameters (Å, degrees): 10.182 10.184 10.663 118.53 90.00 119.99
Last column: magnetic moment on the atom in μB.
Fractional positions:
Cs1 0.000 0.000 0.000  0.00
Cs2 0.000 0.500 0.000  0.00
Cs3 0.500 0.500 0.000  0.00
Pu1 0.000 0.000 0.500  5.77
In1 0.500 0.000 0.500  0.01
In2 0.500 0.500 0.500  0.01
In3 0.000 0.500 0.500  0.01
I1 0.259 0.518 0.278  0.00
I2 0.741 0.482 0.722  0.00
I3 0.779 0.558 0.296  -0.01
I4 0.221 0.442 0.704  -0.01
I5 0.779 0.017 0.296  -0.01
I6 0.221 0.983 0.704  -0.01
I7 0.238 0.017 0.296  -0.01
I8 0.762 0.983 0.704  -0.01

## Properties
ΔE_f (raw): -96 kJ/mol of atoms
Mass density: 4.162 g/cm³
Uncorrected energy: -52.42 eV for the cell shown

---

Q: Which formula does entry 8 have?
A: Cs3PuIn3I8